! GaCoN2 | Alexandria via LeMat-Bulk | PBE-GGA | relaxed; values from VASP
&SYSTEM
  ibrav = 0, nat = 16, ntyp = 3
/
ATOMIC_SPECIES
Ga 69.72 Ga.upf
Co 58.93 Co.upf
N 14.01 N.upf
CELL_PARAMETERS angstrom
5.494 0.000 0.000
0.000 6.306 0.000
0.000 0.000 5.045
ATOMIC_POSITIONS crystal
Ga 0.084 0.126 0.000
Ga 0.416 0.626 0.500
Ga 0.584 0.374 0.000
Ga 0.916 0.874 0.500
Co 0.081 0.621 0.993
Co 0.419 0.121 0.493
Co 0.581 0.879 0.993
Co 0.919 0.379 0.493
N 0.084 0.622 0.363
N 0.091 0.133 0.394
N 0.409 0.633 0.894
N 0.416 0.122 0.863
N 0.584 0.878 0.363
N 0.591 0.367 0.394
N 0.909 0.867 0.894
N 0.916 0.378 0.863
! magnetic moment	1.12	μB/cell
! total DFT energy (no corrections)	-6.57	eV/atom
! SG	No. 33
! ΔE_f (raw)	0.13	eV per atom
! DOS(E_F)	10.7	states/eV per cell